Entry 1:
DFT (GGA-PBE) results for a relaxed structure of LiCa7Zn2.

Computed properties:
calculated formation energy: -0.107 kcal/mol of atoms

Cell lengths 5.220, 5.220, 13.326 Å; angles 101.29, 101.29, 90.00 degrees
Atoms (fractional coordinates):
Ca 0.750 0.250 0.500
Ca 0.108 0.608 0.215
Ca 0.500 0.500 0.000
Ca 0.392 0.892 0.785
Ca 0.608 0.108 0.215
Ca 0.250 0.750 0.500
Ca 0.892 0.392 0.785
Zn 0.325 0.325 0.651
Zn 0.675 0.675 0.349
Li 0.000 0.000 0.000

---

Entry 2:
DFT (GGA-PBE) results for a relaxed structure of Ba2BeGe.

Computed properties:
distance to the lowest polymorph of the same formula: 532 meV/atom
calculated formation energy: 13.990 kcal/mol of atoms

Cell lengths 5.947, 5.947, 10.535 Å; angles 73.60, 73.60, 90.00 degrees
Atoms (fractional coordinates):
Ba 0.621 0.125 0.250
Ba 0.375 0.379 0.750
Ba 0.875 0.871 0.750
Ba 0.129 0.625 0.250
Ge 0.750 0.250 0.500
Ge 0.000 0.000 0.000
Be 0.500 0.500 0.000
Be 0.250 0.750 0.500

---

Entry 3:
DFT (GGA-PBE) results for a relaxed structure of ScTcOs2.

Computed properties:
distance to the lowest polymorph of the same formula: 271 meV/atom
calculated formation energy: 4.696 kcal/mol of atoms

Cell lengths 9.208, 9.208, 9.208 Å; angles 17.65, 17.65, 17.65 degrees
Atoms (fractional coordinates):
Sc 0.500 0.500 0.500
Os 0.254 0.254 0.254
Os 0.001 0.001 0.001
Tc 0.745 0.745 0.745

---

Entry 4:
DFT (GGA-PBE) results for a relaxed structure of CsPH2.

Computed properties:
distance to the lowest polymorph of the same formula: 0 meV/atom

Cell lengths 5.912, 4.731, 15.366 Å; angles 90.00, 90.00, 90.00 degrees
Atoms (fractional coordinates):
H 0.250 0.469 0.686
H 0.750 0.969 0.814
H 0.750 0.531 0.314
H 0.750 0.970 0.314
H 0.250 0.470 0.186
H 0.250 0.031 0.186
H 0.750 0.530 0.814
H 0.250 0.030 0.686
Cs 0.250 0.250 0.883
Cs 0.750 0.750 0.617
Cs 0.250 0.250 0.383
Cs 0.750 0.750 0.117
P 0.750 0.749 0.879
P 0.250 0.249 0.621
P 0.250 0.251 0.121
P 0.750 0.751 0.379

---

Entry 5:
DFT (GGA-PBE) results for a relaxed structure of BaY3In.

Computed properties:
distance to the lowest polymorph of the same formula: 0 meV/atom
calculated formation energy: 4.771 kcal/mol of atoms

Cell lengths 5.889, 5.889, 5.889 Å; angles 90.00, 90.00, 90.00 degrees
Atoms (fractional coordinates):
Ba 0.500 0.500 0.500
Y 0.000 0.000 0.500
Y 0.000 0.500 0.000
Y 0.500 0.000 0.000
In 0.000 0.000 0.000

---

Entry 6:
DFT (GGA-PBE) results for a relaxed structure of CdPd5Se.

Computed properties:
E_form (uncorrected): -0.28 eV per atom

Cell lengths 4.063, 4.063, 7.134 Å; angles 90.00, 90.00, 90.00 degrees
Atoms (fractional coordinates):
Cd 0.500 0.500 0.000
Pd 0.500 0.000 0.715
Pd 0.000 0.500 0.285
Pd 0.000 0.500 0.715
Pd 0.500 0.000 0.285
Pd 0.000 0.000 0.000
Se 0.000 0.000 0.500

---

Entry 7:
DFT (GGA-PBE) results for a relaxed structure of Zn2CoSi.

Computed properties:
E_form (uncorrected): -0.03 eV per atom

Cell lengths 4.513, 4.513, 4.513 Å; angles 131.50, 131.51, 71.00 degrees
Atoms (fractional coordinates):
Zn 0.000 0.000 0.000
Zn 0.750 0.250 0.500
Si 0.250 0.750 0.500
Co 0.500 0.500 0.000

---

Entry 8:
DFT (GGA-PBE) results for a relaxed structure of SrLa3Os.

Computed properties:
distance to the lowest polymorph of the same formula: 22 meV/atom
calculated formation energy: -1.420 kcal/mol of atoms

Cell lengths 14.466, 11.033, 11.033 Å; angles 83.58, 127.02, 52.98 degrees
Atoms (fractional coordinates):
La 0.063 0.998 0.905
La 0.437 0.405 0.498
La 0.901 0.759 0.889
La 0.099 0.241 0.111
La 0.563 0.595 0.502
La 0.948 0.243 0.318
La 0.448 0.182 0.257
La 0.599 0.389 0.259
La 0.552 0.818 0.743
La 0.401 0.611 0.741
La 0.052 0.757 0.682
La 0.937 0.002 0.095
Os 0.750 0.407 0.907
Os 0.250 0.908 0.408
Os 0.750 0.092 0.592
Os 0.250 0.593 0.093
Sr 0.593 0.100 0.036
Sr 0.407 0.900 0.964
Sr 0.093 0.464 0.400
Sr 0.907 0.536 0.600

---

Entry 9:
DFT (GGA-PBE) results for a relaxed structure of MnCdPt2.

Computed properties:
calculated formation energy: -6.695 kcal/mol of atoms

Cell lengths 6.615, 4.728, 3.006 Å; angles 89.96, 63.04, 123.74 degrees
Atoms (fractional coordinates):
Cd 0.000 0.500 0.500
Pt 0.500 0.000 0.500
Pt 0.000 0.000 0.000
Mn 0.500 0.500 0.000

---

Entry 10:
DFT (GGA-PBE) results for a relaxed structure of BaAc4Tl3O12.

Computed properties:
E_form (uncorrected): -2.07 eV per atom

Cell lengths 7.882, 7.882, 7.882 Å; angles 109.47, 109.47, 109.47 degrees
Atoms (fractional coordinates):
O 0.684 0.159 0.843
O 0.843 0.684 0.159
O 0.157 0.316 0.841
O 0.159 0.843 0.684
O 0.316 0.841 0.157
O 0.841 0.526 0.684
O 0.316 0.159 0.474
O 0.841 0.157 0.316
O 0.526 0.684 0.841
O 0.684 0.841 0.526
O 0.159 0.474 0.316
O 0.474 0.316 0.159
Ac 0.500 0.500 0.500
Ac 0.500 0.000 0.000
Ac 0.000 0.000 0.500
Ac 0.000 0.500 0.000
Tl 0.000 0.500 0.500
Tl 0.500 0.500 0.000
Tl 0.500 0.000 0.500
Ba 0.000 0.000 0.000

---

Entry 11:
DFT (GGA-PBE) results for a relaxed structure of Sc3VN.

Computed properties:
E_form (uncorrected): 1.32 eV per atom
distance to the lowest polymorph of the same formula: 1875 meV/atom

Cell lengths 4.735, 4.735, 4.735 Å; angles 90.00, 90.00, 90.00 degrees
Atoms (fractional coordinates):
V 0.000 0.000 0.000
Sc 0.500 0.000 0.000
Sc 0.000 0.000 0.500
Sc 0.000 0.500 0.000
N 0.500 0.500 0.500

---

Entry 12:
DFT (GGA-PBE) results for a relaxed structure of FeRe2Rh.

Computed properties:
distance to the lowest polymorph of the same formula: 36 meV/atom
calculated formation energy: 0.636 kcal/mol of atoms

Cell lengths 3.769, 3.768, 3.844 Å; angles 90.00, 90.00, 90.00 degrees
Atoms (fractional coordinates):
Rh 0.500 0.000 0.500
Re 0.500 0.500 0.000
Re 0.000 0.000 0.000
Fe 0.000 0.500 0.500

---

Entry 13:
DFT (GGA-PBE) results for a relaxed structure of HfPb2F.

Computed properties:
E_form (uncorrected): -0.10 eV per atom
distance to the lowest polymorph of the same formula: 129 meV/atom

Cell lengths 4.410, 4.410, 10.689 Å; angles 78.10, 78.10, 90.00 degrees
Atoms (fractional coordinates):
Pb 0.875 0.874 0.750
Pb 0.375 0.376 0.750
Pb 0.126 0.625 0.250
Pb 0.624 0.125 0.250
Hf 0.000 0.000 0.000
Hf 0.750 0.250 0.500
F 0.500 0.500 0.000
F 0.250 0.750 0.500

---

Entry 14:
DFT (GGA-PBE) results for a relaxed structure of TmScIr2.

Computed properties:
calculated formation energy: -22.052 kcal/mol of atoms

Cell lengths 3.210, 3.210, 6.987 Å; angles 90.00, 90.00, 90.00 degrees
Atoms (fractional coordinates):
Ir 0.000 0.000 0.764
Ir 0.000 0.000 0.236
Sc 0.500 0.500 0.000
Tm 0.500 0.500 0.500

---

Entry 15:
DFT (GGA-PBE) results for a relaxed structure of InCu2Tc.

Computed properties:
calculated formation energy: 7.550 kcal/mol of atoms

Cell lengths 4.627, 4.627, 4.627 Å; angles 127.73, 127.73, 77.06 degrees
Atoms (fractional coordinates):
Tc 0.750 0.250 0.500
Cu 0.500 0.500 0.000
Cu 0.000 0.000 0.000
In 0.250 0.750 0.500

---

Entry 16:
DFT (GGA-PBE) results for a relaxed structure of La2Sc3In4.

Computed properties:
calculated formation energy: -8.090 kcal/mol of atoms

Cell lengths 6.786, 8.763, 9.029 Å; angles 90.00, 112.07, 90.00 degrees
Atoms (fractional coordinates):
Sc 0.972 0.250 0.443
Sc 0.472 0.250 0.443
Sc 0.528 0.750 0.557
Sc 0.500 0.500 0.000
Sc 0.000 0.000 0.000
Sc 0.028 0.750 0.557
La 0.890 0.417 0.780
La 0.390 0.083 0.780
La 0.110 0.583 0.220
La 0.610 0.917 0.220
In 0.796 0.250 0.093
In 0.181 0.963 0.361
In 0.704 0.750 0.907
In 0.296 0.250 0.093
In 0.819 0.037 0.639
In 0.204 0.750 0.907
In 0.319 0.463 0.639
In 0.681 0.537 0.361

---

Entry 17:
DFT (GGA-PBE) results for a relaxed structure of TlTeRuN2.

Computed properties:
E_form (uncorrected): 2.25 eV per atom
distance to the lowest polymorph of the same formula: 1369 meV/atom

Cell lengths 4.176, 4.176, 6.563 Å; angles 90.00, 90.00, 90.00 degrees
Atoms (fractional coordinates):
Te 0.000 0.000 0.500
Ru 0.500 0.500 0.500
N 0.000 0.500 0.000
N 0.500 0.000 0.000
Tl 0.000 0.000 0.000

---

Entry 18:
DFT (GGA-PBE) results for a relaxed structure of Zr2WAu.

Computed properties:
distance to the lowest polymorph of the same formula: 882 meV/atom
calculated formation energy: 14.757 kcal/mol of atoms

Cell lengths 4.142, 4.142, 10.202 Å; angles 78.29, 78.29, 90.00 degrees
Atoms (fractional coordinates):
W 0.250 0.750 0.500
W 0.500 0.500 0.000
Zr 0.375 0.382 0.750
Zr 0.618 0.125 0.250
Zr 0.132 0.625 0.250
Zr 0.875 0.868 0.750
Au 0.000 0.000 0.000
Au 0.750 0.250 0.500

---

Entry 19:
DFT (GGA-PBE) results for a relaxed structure of Dy2Ge7Rh12.

Computed properties:
calculated formation energy: -16.429 kcal/mol of atoms

Cell lengths 3.901, 9.956, 9.956 Å; angles 120.00, 90.00, 90.00 degrees
Atoms (fractional coordinates):
Ge 0.500 0.929 0.375
Ge 0.000 0.217 0.265
Ge 0.000 0.333 0.667
Ge 0.500 0.446 0.071
Ge 0.500 0.625 0.554
Ge 0.000 0.735 0.952
Ge 0.000 0.048 0.783
Rh 0.500 0.201 0.426
Rh 0.500 0.893 0.608
Rh 0.500 0.715 0.107
Rh 0.000 0.269 0.047
Rh 0.000 0.057 0.542
Rh 0.000 0.779 0.731
Rh 0.500 0.392 0.285
Rh 0.000 0.953 0.221
Rh 0.000 0.458 0.515
Rh 0.500 0.574 0.775
Rh 0.500 0.225 0.799
Rh 0.000 0.485 0.943
Dy 0.000 0.667 0.333
Dy 0.500 0.000 0.000

---

Entry 20:
DFT (GGA-PBE) results for a relaxed structure of AcPr4Mg.

Computed properties:
distance to the lowest polymorph of the same formula: 0 meV/atom
calculated formation energy: -0.490 kcal/mol of atoms

Cell lengths 3.826, 3.826, 14.648 Å; angles 90.00, 90.00, 90.00 degrees
Atoms (fractional coordinates):
Pr 0.500 0.500 0.812
Pr 0.500 0.500 0.188
Pr 0.000 0.000 0.360
Pr 0.000 0.000 0.640
Ac 0.000 0.000 0.000
Mg 0.500 0.500 0.500